## Ni5P2 (PBE-GGA)

Data for a relaxed structure of Ni5P2.

Calculated values
* calculated density: 7.4 g/cm³
* D(E_F): 0.39 states/eV per atom
* formation energy from the elements: -277 kJ/mol of formula units

Cell and atoms, written as POSCAR:
```
Ni5P2
1.0
4.7987 -0.1671 0.4033
-0.0164 5.1875 2.3437
0.4400 0.1877 6.5005
Ni P
10 4
Cartesian
1.1917 2.4799 1.2401 Ni
1.2369 1.0572 3.4324 Ni
3.5906 2.5405 1.5069 Ni
2.6622 5.0434 7.8122 Ni
3.6335 1.8360 4.0237 Ni
0.1487 4.0985 2.9731 Ni
5.0736 1.1096 6.2744 Ni
1.5889 3.3722 5.2238 Ni
2.5602 0.1648 1.4353 Ni
3.9855 4.1510 5.8150 Ni
4.6418 0.6201 2.1486 P
2.2344 3.2731 3.1078 P
0.5806 4.5880 7.0988 P
2.9880 1.9350 6.1397 P
```

***

## Ni3P (PBE-GGA)

Data for a relaxed structure of Ni3P.

Calculated values
* calculated density: 7.4 g/cm³
* D(E_F): 0.98 states/eV per atom
* formation energy from the elements: -24 kJ/mol of formula units

Cell and atoms, written as POSCAR:
```
Ni3P
1.0
1.3633 -2.3612 0.0000
1.3633 2.3612 0.0000
0.0000 0.0000 7.1814
Ni P
3 1
Cartesian
0.0000 0.0000 5.1764 Ni
0.0000 0.0000 2.0050 Ni
1.3633 -0.7871 0.0000 Ni
1.3633 -0.7871 3.5907 P
```

***

## Ni13P2 (PBE-GGA)

Data for a relaxed structure of Ni13P2.

Calculated values
* calculated density: 8.1 g/cm³
* D(E_F): 1.38 states/eV per atom
* formation energy from the elements: -194 kJ/mol of formula units

Cell and atoms, written as POSCAR:
```
Ni13P2
1.0
4.2735 -0.1766 -0.1296
-0.7812 5.7048 0.4653
-0.6034 -2.4468 6.7820
Ni P
13 2
Cartesian
2.1430 2.3871 2.9035 Ni
2.8410 3.1251 0.6168 Ni
2.1291 0.7579 0.9756 Ni
0.8054 3.9706 1.5695 Ni
0.0480 -0.0437 6.5008 Ni
2.0836 -0.8892 5.5481 Ni
0.7460 0.6943 4.2141 Ni
0.0000 0.0000 0.0000 Ni
-0.0657 1.7505 2.0425 Ni
0.0176 3.5740 3.9980 Ni
0.7599 2.3235 6.1420 Ni
2.8714 -0.4926 3.1196 Ni
2.9547 1.3309 5.0751 Ni
0.6238 -0.2665 2.2640 P
2.2652 3.3479 4.8536 P
```

***

## NiP4 (PBE-GGA)

Data for a relaxed structure of NiP4.

Calculated values
* calculated density: 4.0 g/cm³
* D(E_F): 0.38 states/eV per atom
* formation energy from the elements: -94 kJ/mol of formula units

Cell and atoms, written as POSCAR:
```
NiP4
1.0
4.7708 0.0000 0.0000
0.0000 4.8082 -0.0487
0.0000 -1.1172 6.6261
P Ni
8 2
Cartesian
0.9011 3.5000 1.6186 P
3.2865 0.7497 1.6458 P
1.6463 1.7308 0.5040 P
0.7391 1.1722 3.8170 P
3.1245 1.9603 6.0734 P
1.4843 2.9414 4.9316 P
3.8697 0.1911 4.9588 P
4.0317 2.5189 2.7604 P
0.0000 0.0000 0.0000 Ni
2.3854 -0.5586 3.3130 Ni
```